# 1
Computed, not measured: a geometry-optimized Y2TaBe structure at the PBE level of DFT.

Values from the calculation:
As for the total energy: -6.635 eV per atom. The offset from the most stable computed form is 268 meV/atom.

a b c (Å): 4.3457 4.3457 9.1546
angles (deg): 90.00 90.00 90.00
Last column: nearest neighbours and their distance in Å.
Fractional coordinates of all 8 atoms:
Y  0.0000  0.0000  0.0000  4 Ta 3.07, 4 Be 3.16, 4 Y 3.16
Y  0.0000  0.5000  0.2500  4 Be 3.07, 4 Ta 3.16, 4 Y 3.16
Y  0.5000  0.0000  0.7500  4 Be 3.07, 4 Ta 3.16, 4 Y 3.16
Y  0.5000  0.5000  0.5000  4 Ta 3.07, 4 Be 3.16, 4 Y 3.16
Ta  0.0000  0.0000  0.5000  8 Y 3.07-3.16, 4 Be 3.16
Ta  0.5000  0.5000  0.0000  8 Y 3.07-3.16, 4 Be 3.16
Be  0.0000  0.5000  0.7500  8 Y 3.07-3.16, 4 Ta 3.16
Be  0.5000  0.0000  0.2500  8 Y 3.07-3.16, 4 Ta 3.16

---

# 2
Computed, not measured: a geometry-optimized YTa2Be structure at the PBE level of DFT.

Values from the calculation:
As for the total energy: -7.972 eV per atom. The offset from the most stable computed form is 300 meV/atom.

a b c (Å): 3.1496 3.1496 26.2452
angles (deg): 90.00 90.00 120.00
Last column: nearest neighbours and their distance in Å.
Fractional coordinates of all 12 atoms:
Y  0.0000  0.0000  0.0000  6 Y 3.15, 6 Ta 3.27
Y  0.3333  0.6667  0.6667  6 Y 3.15, 6 Ta 3.27
Y  0.6667  0.3333  0.3333  6 Y 3.15, 6 Ta 3.27
Ta  0.0000  0.0000  0.2299  3 Be 2.46
Ta  0.0000  0.0000  0.7701  3 Be 2.46
Ta  0.3333  0.6667  0.4368  3 Be 2.46
Ta  0.3333  0.6667  0.8965  3 Be 2.46
Ta  0.6667  0.3333  0.1035  3 Be 2.46
Ta  0.6667  0.3333  0.5632  3 Be 2.46
Be  0.0000  0.0000  0.5000  6 Ta 2.46
Be  0.3333  0.6667  0.1667  6 Ta 2.46
Be  0.6667  0.3333  0.8333  6 Ta 2.46

---

# 3
Computed, not measured: a geometry-optimized Y2TaBe structure at the PBE level of DFT.

Values from the calculation:
As for the total energy: -6.903 eV per atom. The offset from the most stable computed form is 0 meV/atom.

a b c (Å): 3.2938 3.3667 8.0747
angles (deg): 90.00 90.00 90.00
Last column: nearest neighbours and their distance in Å.
Fractional coordinates of all 4 atoms:
Y  0.0000  0.0000  0.0000  1 Ta 2.96, 4 Be 3.01, 2 Y 3.29
Y  0.5000  0.5000  0.3750  4 Ta 3.15, 1 Be 3.18, 4 Y 3.29-3.37
Ta  0.0000  0.0000  0.6336  4 Be 2.60
Be  0.5000  0.5000  0.7687  4 Ta 2.60

---

# 4
Computed, not measured: a geometry-optimized YTa2Be structure at the PBE level of DFT.

Values from the calculation:
As for the total energy: -8.025 eV per atom. The offset from the most stable computed form is 247 meV/atom.

a b c (Å): 3.2589 4.6227 5.0421
angles (deg): 90.00 90.00 90.00
Last column: nearest neighbours and their distance in Å.
Fractional coordinates of all 4 atoms:
Y  0.0000  0.0000  0.0000  4 Be 2.83, 4 Ta 3.00
Ta  0.0000  0.5000  0.5000  4 Ta 2.83, 4 Be 3.00
Ta  0.5000  0.0000  0.5000  4 Ta 2.83, 4 Y 3.00
Be  0.5000  0.5000  0.0000  4 Y 2.83, 4 Ta 3.00

---

# 5
Computed, not measured: a geometry-optimized YTaBe structure at the PBE level of DFT.

Values from the calculation:
As for the total energy: -7.067 eV per atom. The offset from the most stable computed form is 0 meV/atom.

a b c (Å): 3.0802 3.0802 11.8037
angles (deg): 90.00 90.00 90.00
Last column: nearest neighbours and their distance in Å.
Fractional coordinates of all 6 atoms:
Y  0.0000  0.0000  0.0000  4 Be 3.01, 4 Y 3.08, 4 Ta 3.23
Y  0.5000  0.5000  0.5000  4 Be 3.01, 4 Y 3.08, 4 Ta 3.23
Ta  0.0000  0.0000  0.2977  4 Be 2.61
Ta  0.5000  0.5000  0.7977  4 Be 2.61
Be  0.0000  0.0000  0.6759  4 Ta 2.61
Be  0.5000  0.5000  0.1759  4 Ta 2.61

---

# 6
Computed, not measured: a geometry-optimized YTa2Be structure at the PBE level of DFT.

Values from the calculation:
As for the total energy: -8.052 eV per atom. The offset from the most stable computed form is 219 meV/atom.

a b c (Å): 9.2656 3.0554 5.6318
angles (deg): 90.00 101.11 90.00
Last column: nearest neighbours and their distance in Å.
Fractional coordinates of all 8 atoms:
Y  0.0000  0.0000  0.0000  3 Be 2.93-3.17, 3 Ta 3.00-3.10, 2 Y 3.06
Y  0.5000  0.5000  0.0000  3 Be 2.93-3.17, 3 Ta 3.00-3.10, 2 Y 3.06
Ta  0.0365  0.5000  0.5363  3 Be 2.60-2.90, 3 Ta 2.75-2.83
Ta  0.2850  0.5000  0.3362  2 Be 2.63, 3 Ta 2.75-2.83
Ta  0.5365  0.0000  0.5363  3 Be 2.60-2.90, 3 Ta 2.75-2.83
Ta  0.7850  0.0000  0.3362  2 Be 2.63, 3 Ta 2.75-2.83
Be  0.2602  0.0000  0.7069  5 Ta 2.60-2.90
Be  0.7602  0.5000  0.7069  5 Ta 2.60-2.90

---

# 7
Computed, not measured: a geometry-optimized Y2TaBe structure at the PBE level of DFT.

Values from the calculation:
As for the total energy: -6.474 eV per atom. The offset from the most stable computed form is 430 meV/atom.

a b c (Å): 5.2663 3.1568 5.7729
angles (deg): 90.00 111.29 90.00
Last column: nearest neighbours and their distance in Å.
Fractional coordinates of all 4 atoms:
Y  0.0000  0.0000  0.0000  4 Be 3.07, 2 Ta 3.12, 6 Y 3.16-3.29
Y  0.0000  0.5000  0.5000  4 Ta 3.07, 2 Be 3.12, 6 Y 3.16-3.29
Ta  0.5000  0.0000  0.5000  6 Y 3.07-3.12, 2 Ta 3.16, 4 Be 3.29
Be  0.5000  0.5000  0.0000  6 Y 3.07-3.12, 2 Be 3.16, 4 Ta 3.29

---

# 8
Computed, not measured: a geometry-optimized YTaBe structure at the PBE level of DFT.

Values from the calculation:
As for the total energy: -6.837 eV per atom. The offset from the most stable computed form is 231 meV/atom.

a b c (Å): 3.2088 3.2088 6.5144
angles (deg): 90.00 90.00 120.00
Last column: nearest neighbours and their distance in Å.
Fractional coordinates of all 3 atoms:
Y  0.0000  0.0000  0.0000  3 Be 2.84
Ta  0.3333  0.6667  0.5988  3 Be 2.54
Be  0.6667  0.3333  0.3312  3 Ta 2.54, 3 Y 2.84

---

# 9
Computed, not measured: a geometry-optimized YTa2Be structure at the PBE level of DFT.

Values from the calculation:
As for the total energy: -8.194 eV per atom. The offset from the most stable computed form is 77 meV/atom.

a b c (Å): 4.0702 3.4539 11.3171
angles (deg): 90.00 90.00 90.00
Last column: nearest neighbours and their distance in Å.
Fractional coordinates of all 8 atoms:
Y  0.0000  0.0000  0.0000  4 Be 2.92, 3 Ta 3.03-3.14
Y  0.0000  0.5000  0.5000  4 Be 2.92, 3 Ta 3.03-3.14
Ta  0.0000  0.0000  0.7320  2 Be 2.49, 4 Ta 2.77
Ta  0.0000  0.5000  0.2320  2 Be 2.49, 4 Ta 2.77
Ta  0.5000  0.0000  0.2974  4 Ta 2.77, 2 Be 2.77
Ta  0.5000  0.5000  0.7974  4 Ta 2.77, 2 Be 2.77
Be  0.5000  0.0000  0.6055  4 Ta 2.49-2.77
Be  0.5000  0.5000  0.1055  4 Ta 2.49-2.77

---

# 10
Computed, not measured: a geometry-optimized Y2TaBe structure at the PBE level of DFT.

Values from the calculation:
As for the total energy: -6.490 eV per atom. The offset from the most stable computed form is 413 meV/atom.

a b c (Å): 6.9780 6.9780 6.9780
angles (deg): 90.00 90.00 90.00
Last column: nearest neighbours and their distance in Å.
Fractional coordinates of all 16 atoms:
Y  0.0000  0.0000  0.0000  4 Be 3.02, 4 Y 3.02
Y  0.0000  0.5000  0.5000  4 Be 3.02, 4 Y 3.02
Y  0.2500  0.2500  0.2500  4 Ta 3.02, 4 Y 3.02
Y  0.2500  0.7500  0.7500  4 Ta 3.02, 4 Y 3.02
Y  0.5000  0.0000  0.5000  4 Be 3.02, 4 Y 3.02
Y  0.5000  0.5000  0.0000  4 Be 3.02, 4 Y 3.02
Y  0.7500  0.2500  0.7500  4 Ta 3.02, 4 Y 3.02
Y  0.7500  0.7500  0.2500  4 Ta 3.02, 4 Y 3.02
Ta  0.0000  0.0000  0.5000  4 Be 3.02, 4 Y 3.02
Ta  0.0000  0.5000  0.0000  4 Be 3.02, 4 Y 3.02
Ta  0.5000  0.0000  0.0000  4 Be 3.02, 4 Y 3.02
Ta  0.5000  0.5000  0.5000  4 Be 3.02, 4 Y 3.02
Be  0.2500  0.2500  0.7500  4 Ta 3.02, 4 Y 3.02
Be  0.2500  0.7500  0.2500  4 Ta 3.02, 4 Y 3.02
Be  0.7500  0.2500  0.2500  4 Ta 3.02, 4 Y 3.02
Be  0.7500  0.7500  0.7500  4 Ta 3.02, 4 Y 3.02

---

# 11
Computed, not measured: a geometry-optimized Y2TaBe2 structure at the PBE level of DFT.

Values from the calculation:
As for the total energy: -6.091 eV per atom.

a b c (Å): 7.6513 7.6513 3.3322
angles (deg): 90.00 90.00 90.00
Last column: nearest neighbours and their distance in Å.
Fractional coordinates of all 10 atoms:
Y  0.1867  0.3133  0.0000  6 Be 2.81-2.85
Y  0.3133  0.8133  0.0000  6 Be 2.81-2.85
Y  0.6867  0.1867  0.0000  6 Be 2.81-2.85
Y  0.8133  0.6867  0.0000  6 Be 2.81-2.85
Ta  0.0000  0.0000  0.5000  4 Be 3.13, 8 Y 3.25, 2 Ta 3.33
Ta  0.5000  0.5000  0.5000  4 Be 3.13, 8 Y 3.25, 2 Ta 3.33
Be  0.1046  0.6046  0.5000  1 Be 2.26
Be  0.3954  0.1046  0.5000  1 Be 2.26
Be  0.6046  0.8954  0.5000  1 Be 2.26
Be  0.8954  0.3954  0.5000  1 Be 2.26

---

# 12
Computed, not measured: a geometry-optimized Y2TaBe structure at the PBE level of DFT.

Values from the calculation:
As for the total energy: -6.603 eV per atom. The offset from the most stable computed form is 300 meV/atom.

a b c (Å): 3.4083 4.6803 10.6839
angles (deg): 90.00 90.00 90.00
Last column: nearest neighbours and their distance in Å.
Fractional coordinates of all 8 atoms:
Y  0.0000  0.0000  0.2031  2 Be 2.76, 4 Y 3.06
Y  0.0000  0.0000  0.7969  2 Be 2.76, 4 Y 3.06
Y  0.5000  0.5000  0.2969  2 Be 2.76, 4 Y 3.06
Y  0.5000  0.5000  0.7031  2 Be 2.76, 4 Y 3.06
Ta  0.0000  0.5000  0.0000  4 Be 2.89, 4 Y 3.19
Ta  0.5000  0.0000  0.5000  4 Be 2.89, 4 Y 3.19
Be  0.0000  0.5000  0.5000  4 Y 2.76, 4 Ta 2.89
Be  0.5000  0.0000  0.0000  4 Y 2.76, 4 Ta 2.89

---

# 13
Computed, not measured: a geometry-optimized YTa2Be structure at the PBE level of DFT.

Values from the calculation:
As for the total energy: -8.131 eV per atom. The offset from the most stable computed form is 141 meV/atom.

a b c (Å): 3.0208 3.3498 7.3417
angles (deg): 90.00 90.00 90.00
Last column: nearest neighbours and their distance in Å.
Fractional coordinates of all 4 atoms:
Y  0.0000  0.0000  0.0000  4 Y 3.02-3.35, 8 Ta 3.25
Ta  0.5000  0.5000  0.3180  4 Be 2.62, 1 Ta 2.67
Ta  0.5000  0.5000  0.6820  4 Be 2.62, 1 Ta 2.67
Be  0.0000  0.0000  0.5000  8 Ta 2.62

---

# 14
Computed, not measured: a geometry-optimized YTa4Be structure at the PBE level of DFT.

Values from the calculation:
As for the total energy: -9.020 eV per atom.

a b c (Å): 5.5801 5.5801 5.5801
angles (deg): 60.00 60.00 60.00
Last column: nearest neighbours and their distance in Å.
Fractional coordinates of all 6 atoms:
Y  0.0000  0.0000  0.0000  12 Ta 3.27, 4 Be 3.42
Ta  0.3732  0.3732  0.3732  6 Ta 2.75-2.83
Ta  0.3732  0.3732  0.8803  6 Ta 2.75-2.83
Ta  0.3732  0.8803  0.3732  6 Ta 2.75-2.83
Ta  0.8803  0.3732  0.3732  6 Ta 2.75-2.83
Be  0.7500  0.7500  0.7500  12 Ta 3.28, 4 Y 3.42

---

# 15
Computed, not measured: a geometry-optimized YTa2Be structure at the PBE level of DFT.

Values from the calculation:
As for the total energy: -7.699 eV per atom. The offset from the most stable computed form is 573 meV/atom.

a b c (Å): 6.6208 6.6208 6.6208
angles (deg): 90.00 90.00 90.00
Last column: nearest neighbours and their distance in Å.
Fractional coordinates of all 16 atoms:
Y  0.0000  0.0000  0.0000  8 Ta 2.87
Y  0.0000  0.5000  0.5000  8 Ta 2.87
Y  0.5000  0.0000  0.5000  8 Ta 2.87
Y  0.5000  0.5000  0.0000  8 Ta 2.87
Ta  0.2500  0.2500  0.2500  4 Be 2.87, 4 Y 2.87
Ta  0.2500  0.2500  0.7500  4 Be 2.87, 4 Y 2.87
Ta  0.2500  0.7500  0.2500  4 Be 2.87, 4 Y 2.87
Ta  0.2500  0.7500  0.7500  4 Be 2.87, 4 Y 2.87
Ta  0.7500  0.2500  0.2500  4 Be 2.87, 4 Y 2.87
Ta  0.7500  0.2500  0.7500  4 Be 2.87, 4 Y 2.87
Ta  0.7500  0.7500  0.2500  4 Be 2.87, 4 Y 2.87
Ta  0.7500  0.7500  0.7500  4 Be 2.87, 4 Y 2.87
Be  0.0000  0.0000  0.5000  8 Ta 2.87
Be  0.0000  0.5000  0.0000  8 Ta 2.87
Be  0.5000  0.0000  0.0000  8 Ta 2.87
Be  0.5000  0.5000  0.5000  8 Ta 2.87

---

# 16
Computed, not measured: a geometry-optimized YTaBe structure at the PBE level of DFT.

Values from the calculation:
As for the total energy: -5.626 eV per atom. The offset from the most stable computed form is 1441 meV/atom.

a b c (Å): 6.5730 6.5730 6.5730
angles (deg): 90.00 90.00 90.00
Last column: nearest neighbours and their distance in Å.
Fractional coordinates of all 12 atoms:
Y  0.0000  0.0000  0.0000  4 Be 2.85, 4 Ta 2.85
Y  0.0000  0.5000  0.5000  4 Be 2.85, 4 Ta 2.85
Y  0.5000  0.0000  0.5000  4 Be 2.85, 4 Ta 2.85
Y  0.5000  0.5000  0.0000  4 Be 2.85, 4 Ta 2.85
Ta  0.2500  0.2500  0.7500  4 Y 2.85
Ta  0.2500  0.7500  0.2500  4 Y 2.85
Ta  0.7500  0.2500  0.2500  4 Y 2.85
Ta  0.7500  0.7500  0.7500  4 Y 2.85
Be  0.2500  0.2500  0.2500  4 Y 2.85
Be  0.2500  0.7500  0.7500  4 Y 2.85
Be  0.7500  0.2500  0.7500  4 Y 2.85
Be  0.7500  0.7500  0.2500  4 Y 2.85

---

# 17
Computed, not measured: a geometry-optimized YTaBe4 structure at the PBE level of DFT.

Values from the calculation:
As for the total energy: -5.414 eV per atom.

a b c (Å): 4.8074 4.8074 4.8074
angles (deg): 60.00 60.00 60.00
Last column: nearest neighbours and their distance in Å.
Fractional coordinates of all 6 atoms:
Y  0.0000  0.0000  0.0000  12 Be 2.83, 4 Ta 2.94
Ta  0.2500  0.2500  0.2500  12 Be 2.81, 4 Y 2.94
Be  0.1365  0.6212  0.6212  6 Be 2.33-2.48
Be  0.6212  0.1365  0.6212  6 Be 2.33-2.48
Be  0.6212  0.6212  0.1365  6 Be 2.33-2.48
Be  0.6212  0.6212  0.6212  6 Be 2.33-2.48

---

# 18
Computed, not measured: a geometry-optimized YTa2Be structure at the PBE level of DFT.

Values from the calculation:
As for the total energy: -8.271 eV per atom. The offset from the most stable computed form is 0 meV/atom.

a b c (Å): 3.3804 3.3804 6.6691
angles (deg): 90.00 90.00 90.00
Last column: nearest neighbours and their distance in Å.
Fractional coordinates of all 4 atoms:
Y  0.0000  0.0000  0.0000  4 Be 3.12, 5 Ta 3.14-3.18, 4 Y 3.38
Ta  0.0000  0.0000  0.4704  4 Be 2.65, 4 Ta 2.79
Ta  0.5000  0.5000  0.6863  1 Be 2.58, 4 Ta 2.79
Be  0.5000  0.5000  0.2995  5 Ta 2.58-2.65

---

# 19
Computed, not measured: a geometry-optimized YTa2Be structure at the PBE level of DFT.

Values from the calculation:
As for the total energy: -8.009 eV per atom. The offset from the most stable computed form is 263 meV/atom.

a b c (Å): 3.1168 3.1168 27.1014
angles (deg): 90.00 90.00 120.00
Last column: nearest neighbours and their distance in Å.
Fractional coordinates of all 12 atoms:
Y  0.0000  0.0000  0.0000  3 Be 2.84, 6 Y 3.12
Y  0.3333  0.6667  0.6667  3 Be 2.84, 6 Y 3.12
Y  0.6667  0.3333  0.3333  3 Be 2.84, 6 Y 3.12
Ta  0.0000  0.0000  0.5194  3 Be 2.55
Ta  0.0000  0.0000  0.7665  9 Ta 2.95-3.12, 3 Y 3.25
Ta  0.3333  0.6667  0.1860  3 Be 2.55
Ta  0.3333  0.6667  0.4332  9 Ta 2.95-3.12, 3 Y 3.25
Ta  0.6667  0.3333  0.0998  9 Ta 2.95-3.12, 3 Y 3.25
Ta  0.6667  0.3333  0.8527  3 Be 2.55
Be  0.0000  0.0000  0.2525  3 Ta 2.55, 3 Y 2.84
Be  0.3333  0.6667  0.9191  3 Ta 2.55, 3 Y 2.84
Be  0.6667  0.3333  0.5858  3 Ta 2.55, 3 Y 2.84

---

# 20
Computed, not measured: a geometry-optimized YTa2Be structure at the PBE level of DFT.

Values from the calculation:
As for the total energy: -8.035 eV per atom. The offset from the most stable computed form is 236 meV/atom.

a b c (Å): 3.8893 4.4046 8.6983
angles (deg): 90.00 90.00 90.00
Last column: nearest neighbours and their distance in Å.
Fractional coordinates of all 8 atoms:
Y  0.0000  0.0000  0.0000  4 Be 2.89-3.12, 8 Ta 2.98-3.03
Y  0.5000  0.5000  0.5000  4 Be 2.89-3.12, 8 Ta 2.98-3.03
Ta  0.0000  0.0000  0.4428  2 Be 2.59, 2 Ta 2.87
Ta  0.0000  0.5000  0.2321  4 Ta 2.87-3.18, 4 Be 2.94, 4 Y 2.99-3.03
Ta  0.5000  0.0000  0.7321  4 Ta 2.87-3.18, 4 Be 2.94, 4 Y 2.99-3.03
Ta  0.5000  0.5000  0.9428  2 Be 2.59, 2 Ta 2.87
Be  0.0000  0.5000  0.7464  2 Ta 2.59, 2 Y 2.89
Be  0.5000  0.0000  0.2464  2 Ta 2.59, 2 Y 2.89